Entry 1:
{
  "formula": "NpZn4Sn",
  "functional": "GGA-PBE",
  "state": "optimized geometry",
  "vol_a3_per_cell": 115.9,
  "delta_e_f_ev_per_atom": 0.118,
  "lattice": [[5.4732, 0.0000, 0.0000], [2.7366, 4.7400, 0.0000], [2.7366, 1.5800, 4.4689]],
  "species": ["Zn", "Zn", "Zn", "Zn", "Np", "Sn"],
  "frac_coords": [[0.6247, 0.6247, 0.6247], [0.1258, 0.6247, 0.6247], [0.6247, 0.1258, 0.6247], [0.6247, 0.6247, 0.1258], [0.2500, 0.2500, 0.2500], [0.0000, 0.0000, 0.0000]]
}

***

Entry 2:
{
  "formula": "CuSeBr6",
  "functional": "GGA-PBE",
  "state": "optimized geometry",
  "formation_energy_uncorrected_kj_per_mol_fu": -58,
  "vol_a3_per_cell": 268.6,
  "lattice": [[-2.5264, 1.5898, -5.2697], [0.7541, -5.7955, -5.8072], [-4.9425, -5.3983, -2.1329]],
  "species": ["Se", "Cu", "Br", "Br", "Br", "Br", "Br", "Br"],
  "frac_coords": [[0.0000, 0.0000, 0.0000], [0.5000, 0.5000, 0.5000], [0.7724, 0.1449, 0.6587], [0.6465, 0.1978, 0.1435], [0.2276, 0.8551, 0.3413], [0.8559, 0.6317, 0.2420], [0.1441, 0.3683, 0.7580], [0.3535, 0.8022, 0.8565]]
}

***

Entry 3:
{
  "formula": "ErMoRu2",
  "functional": "GGA-PBE",
  "state": "optimized geometry",
  "relative_energy_ev_per_atom": 0.0552,
  "vol_a3_per_cell": 67.0,
  "delta_e_f_ev_per_atom": -0.039,
  "lattice": [[-3.7538, 0.4704, -2.5445], [-2.5822, -3.6361, -0.9475], [-4.1174, -0.4321, 1.9098]],
  "species": ["Er", "Mo", "Ru", "Ru"],
  "frac_coords": [[0.0000, 0.0000, 0.0000], [0.5000, 0.5000, 0.5000], [0.7500, 0.7500, 0.7500], [0.2500, 0.2500, 0.2500]]
}

***

Entry 4:
{
  "formula": "ZnGa4Ag2",
  "functional": "GGA-PBE",
  "state": "optimized geometry",
  "vol_a3_per_cell": 131.4,
  "delta_e_f_ev_per_atom": 0.095,
  "lattice": [[6.6892, 0.0000, 0.0000], [0.0000, 6.6892, 0.0000], [-3.3446, -3.3446, 2.9368]],
  "species": ["Ga", "Ga", "Ga", "Ga", "Ag", "Ag", "Zn"],
  "frac_coords": [[0.7947, 0.7947, 0.9982], [0.2034, 0.2034, 0.9982], [0.2053, 0.7966, 0.0018], [0.7966, 0.2053, 0.0018], [0.7500, 0.2500, 0.5000], [0.2500, 0.7500, 0.5000], [0.5000, 0.5000, 0.0000]]
}